A) Crystalline Ti2BeB2 at its relaxed geometry. Source: Alexandria, functional PBE.

Cell and atoms, written as POSCAR:
```
Ti2BeB2
1.0
-2.5280 -1.8680 -0.6779
0.3603 0.5736 -2.9244
3.0388 -4.4880 1.0347
B Ti Be
2 2 1
direct
0.0000 0.2076 0.4151
0.0000 0.7924 0.5849
0.5000 0.3668 0.7336
0.5000 0.6332 0.2664
0.0000 0.0000 0.0000
```

Values from the calculation:
The total magnetization is 0.000 μB per atom.


B) Crystalline Ti2BeB2 at its relaxed geometry. Source: Alexandria, functional PBE.

Cell and atoms, written as POSCAR:
```
Ti2BeB2
1.0
5.6240 0.0000 0.0000
0.0000 5.6240 0.0000
0.0000 0.0000 3.2277
Be B Ti
2 4 4
direct
0.5000 0.5000 0.0000
0.0000 0.0000 0.0000
0.6086 0.1086 0.0000
0.8914 0.6086 0.0000
0.1086 0.3914 0.0000
0.3914 0.8914 0.0000
0.3176 0.1824 0.5000
0.1824 0.6824 0.5000
0.6824 0.8176 0.5000
0.8176 0.3176 0.5000
```

Values from the calculation:
The total magnetization is 0.000 μB per atom.


Of the structures shown above, B) is the least stable.